The following is a PBE calculation of RbAsO2 after structural relaxation, from Alexandria.

```
4
Lattice="2.1391 0.0000 7.0707 -1.0695 1.8525 7.0707 -1.0695 -1.8525 7.0707" Properties=species:S:1:pos:R:3 pbc="T T T"
As 0.0000 0.0000 0.0000
O 0.0000 0.0000 19.4633
O 0.0000 0.0000 1.7487
Rb 0.0000 0.0000 10.6060
```

Computed properties:
As for the formation energy from raw total energies: -0.80 eV per atom. The calculation puts the density of states at the Fermi level at 0.235 states/eV per atom. Its space group is R-3m (166).

***

The following is a PBE calculation of PrPd2Pt4 after structural relaxation, from Alexandria.

```
7
Lattice="4.7202 -0.0050 2.5167 2.1873 4.8353 1.5662 0.0727 -0.3485 5.5219" Properties=species:S:1:pos:R:3 pbc="T T T"
Pr 0.0001 0.0000 0.0001
Pd 4.6719 2.2367 5.4286
Pd 2.3081 2.2451 4.1760
Pt 4.6117 2.9435 2.7034
Pt 2.3686 1.5383 6.9014
Pt 3.3233 -0.2152 5.1137
Pt 3.6571 4.6971 4.4912
```

Computed properties:
As for the formation energy: -0.469 eV per atom. The calculation puts the density of states at the Fermi level at 1.679 states/eV per atom. Its space group is C2/m (12).

***

The following is a PBE calculation of PBr2Cl8 after structural relaxation, from Alexandria.

```
11
Lattice="5.9484 0.7072 -3.5106 0.3581 5.8675 -1.8764 -1.1420 0.3956 11.6188" Properties=species:S:1:pos:R:3 pbc="T T T"
P 2.9742 0.3536 -1.7553
Br 0.0690 2.9981 2.7806
Br 5.0955 3.9722 3.4512
Cl 4.2249 5.7438 -1.6753
Cl 2.7171 4.6782 7.2411
Cl 1.5494 1.8059 3.8845
Cl 5.7760 1.4245 -2.7926
Cl 3.6151 5.1643 2.3473
Cl 2.4474 2.2921 -1.0093
Cl 0.9396 1.2265 7.9072
Cl -0.6115 5.5457 9.0244
```

Computed properties:
As for the formation energy from raw total energies: -0.10 eV per atom. The calculation puts the density of states at the Fermi level at 0.064 states/eV per atom. Its space group is P-1 (2).

***

The following is a PBE calculation of ErPO4 after structural relaxation, from Alexandria.

```
12
Lattice="-1.1569 5.6057 0.4550 -4.4987 -3.5570 -0.2818 2.8342 -1.4182 4.7818" Properties=species:S:1:pos:R:3 pbc="T T T"
P -1.7015 1.8151 1.3741
P -1.1199 -1.1846 3.5809
O 0.0860 -0.6443 2.7631
O -1.0810 0.7506 0.4274
O -0.4934 2.2173 2.2649
O -0.4970 -2.3874 4.3426
O -1.7403 -0.1201 4.5276
O -2.9074 1.2748 2.1919
O -2.3243 3.0180 0.6124
O -2.3279 -1.5868 2.6901
Er 0.5511 3.3967 3.9492
Er -3.3724 -2.7662 1.0058
```

Computed properties:
As for the formation energy from raw total energies: -3.05 eV per atom. The calculation puts the density of states at the Fermi level at 0.000 states/eV per atom. Its space group is I4_1/amd (141).

***

The following is a PBE calculation of In3BrF after structural relaxation, from Alexandria.

```
5
Lattice="-5.1820 0.3424 -0.9571 0.1034 -4.7689 -2.2657 -1.0112 -2.2420 4.6730" Properties=species:S:1:pos:R:3 pbc="T T T"
F 0.0000 0.0000 0.0000
Br -3.0449 -3.3342 0.7251
In 0.0517 -2.3844 -1.1328
In -0.5056 -1.1210 2.3365
In -2.5910 0.1712 -0.4785
```

Computed properties:
As for the formation energy from raw total energies: -0.68 eV per atom. The calculation puts the density of states at the Fermi level at 0.441 states/eV per atom. Its space group is Pm-3m (221).

***

The following is a PBE calculation of ScMnNi2Hg after structural relaxation, from Alexandria.

```
5
Lattice="4.4734 0.0000 0.0000 0.0000 4.7382 0.0000 0.0000 0.0000 4.4734" Properties=species:S:1:pos:R:3 pbc="T T T"
Sc 0.0000 0.0000 0.0000
Ni 0.0000 0.0000 2.2367
Ni 2.2367 0.0000 0.0000
Mn 0.0000 2.3691 0.0000
Hg 2.2367 2.3691 2.2367
```

Computed properties:
As for the formation energy: 1.021 eV per atom. The calculation puts the density of states at the Fermi level at 0.711 states/eV per atom. Its space group is P4/mmm (123).